This record from Alexandria via LeMat-Bulk describes a relaxed Cs2CrCoO4 crystal. The functional is PBE with a Hubbard U.

## Properties
* uncorrected energy: -360.263 eV per cell

a b c (Å): 5.1249 12.7133 21.8358
angles (deg): 90.00 90.00 90.00
Space group Fddd (No. 70, origin choice 2)
Unique sites:
Cs  0.1250  0.1250  0.2990
Cr  0.1250  0.1250  0.1250
Co  0.1250  0.1250  0.6250
O  0.0979  0.2938  0.4185